# Pr2SnBi4 PBE optimized geometry
data_Pr2SnBi4
_cell_length_a 9.268
_cell_length_b 10.058
_cell_length_c 6.797
_cell_angle_alpha 90.00
_cell_angle_beta 132.56
_cell_angle_gamma 90.00
_space_group_name_H-M_alt 'C 1 2/m 1'
_space_group_IT_number 12
loop_
_space_group_symop_operation_xyz
'x,y,z'
'-x,-y,-z'
'-x,y,-z'
'x,-y,z'
'x+1/2,y+1/2,z'
'-x+1/2,-y+1/2,-z'
'-x+1/2,y+1/2,-z'
'x+1/2,-y+1/2,z'
loop_
_atom_site_label
_atom_site_fract_x
_atom_site_fract_y
_atom_site_fract_z
_atom_site_occupancy
Pr1 0.250 0.250 0.000 1
Sn1 0.000 0.000 0.500 1
Bi1 0.000 0.000 0.000 1
Bi2 0.000 0.500 0.000 1
Bi3 0.250 0.250 0.500 1
# Crystal system: monoclinic
# DFT formation energy (eV per atom): -0.470
# Offset from the most stable computed form (meV/atom): 26



# BaCa7Mg5 PBE optimized geometry
data_BaCa7Mg5
_cell_length_a 6.719
_cell_length_b 11.653
_cell_length_c 11.859
_cell_angle_alpha 90.00
_cell_angle_beta 90.00
_cell_angle_gamma 90.00
_space_group_name_H-M_alt 'I m m 2'
_space_group_IT_number 44
loop_
_space_group_symop_operation_xyz
'x,y,z'
'-x,-y,z'
'-x,y,z'
'x,-y,z'
'x+1/2,y+1/2,z+1/2'
'-x+1/2,-y+1/2,z+1/2'
'-x+1/2,y+1/2,z+1/2'
'x+1/2,-y+1/2,z+1/2'
loop_
_atom_site_label
_atom_site_fract_x
_atom_site_fract_y
_atom_site_fract_z
_atom_site_occupancy
Ba1 0.000 0.000 0.000 1
Ca1 0.000 0.000 0.337 1
Ca2 0.000 0.000 0.645 1
Ca3 0.000 0.300 0.494 1
Ca4 0.000 0.347 0.980 1
Ca5 0.000 0.500 0.260 1
Mg1 0.000 0.500 0.716 1
Mg2 0.249 0.243 0.237 1
# Crystal system: orthorhombic
# DFT formation energy (eV per atom): -0.033



# Mg2Ag PBE optimized geometry
data_Mg2Ag
_cell_length_a 4.277
_cell_length_b 4.277
_cell_length_c 25.847
_cell_angle_alpha 90.00
_cell_angle_beta 90.00
_cell_angle_gamma 90.00
_space_group_name_H-M_alt 'I 41/a m d'
_space_group_IT_number 141
loop_
_space_group_symop_operation_xyz
'x,y,z'
'-x,-y,-z'
'-y+1/4,x+3/4,z+1/4'
'y+1/4,-x+3/4,-z+1/4'
'-x+1/2,-y,z+1/2'
'x+1/2,y,-z+1/2'
'y+1/4,-x+1/4,z+3/4'
'-y+1/4,x+1/4,-z+3/4'
'x,-y,-z'
'-x,y,z'
'-y+1/4,-x+1/4,-z+3/4'
'y+1/4,x+1/4,z+3/4'
'-x+1/2,y,-z+1/2'
'x+1/2,-y,z+1/2'
'y+1/4,x+3/4,-z+1/4'
'-y+1/4,-x+3/4,z+1/4'
'x+1/2,y+1/2,z+1/2'
'-x+1/2,-y+1/2,-z+1/2'
'-y+3/4,x+1/4,z+3/4'
'y+3/4,-x+1/4,-z+3/4'
'-x,-y+1/2,z'
'x,y+1/2,-z'
'y+3/4,-x+3/4,z+1/4'
'-y+3/4,x+3/4,-z+1/4'
'x+1/2,-y+1/2,-z+1/2'
'-x+1/2,y+1/2,z+1/2'
'-y+3/4,-x+3/4,-z+1/4'
'y+3/4,x+3/4,z+1/4'
'-x,y+1/2,-z'
'x,-y+1/2,z'
'y+3/4,x+1/4,-z+3/4'
'-y+3/4,-x+1/4,z+3/4'
loop_
_atom_site_label
_atom_site_fract_x
_atom_site_fract_y
_atom_site_fract_z
_atom_site_occupancy
Mg1 0.000 0.250 0.125 1
Mg2 0.000 0.250 0.289 1
Ag1 0.000 0.250 0.793 1
# Crystal system: tetragonal
# DFT formation energy (eV per atom): -0.128



# ScInSb2Te PBE optimized geometry
data_ScInSb2Te
_cell_length_a 5.529
_cell_length_b 5.529
_cell_length_c 5.594
_cell_angle_alpha 90.00
_cell_angle_beta 90.00
_cell_angle_gamma 90.00
_space_group_name_H-M_alt 'P 4/m m m'
_space_group_IT_number 123
_space_group_name_Hall '-P 4 2'
loop_
_atom_site_label
_atom_site_fract_x
_atom_site_fract_y
_atom_site_fract_z
_atom_site_occupancy
Sc1 0.000 0.000 0.000 1
In1 0.500 0.500 0.500 1
Sb1 0.000 0.500 0.000 1
Te1 0.000 0.000 0.500 1
# Crystal system: tetragonal
# Raw formation energy (eV per atom): -0.0287
# Offset from the most stable computed form (meV/atom): 0



# CaPrErMg PBE optimized geometry
data_CaPrErMg
_cell_length_a 3.653
_cell_length_b 3.653
_cell_length_c 9.735
_cell_angle_alpha 90.00
_cell_angle_beta 90.00
_cell_angle_gamma 90.00
_space_group_name_H-M_alt 'P 4 m m'
_space_group_IT_number 99
loop_
_space_group_symop_operation_xyz
'x,y,z'
'-y,x,z'
'-x,-y,z'
'y,-x,z'
'-x,y,z'
'y,x,z'
'x,-y,z'
'-y,-x,z'
loop_
_atom_site_label
_atom_site_fract_x
_atom_site_fract_y
_atom_site_fract_z
_atom_site_occupancy
Ca1 0.000 0.000 0.000 1
Pr1 0.500 0.500 0.700 1
Er1 0.000 0.000 0.450 1
Mg1 0.500 0.500 0.237 1
# Crystal system: tetragonal
# DFT formation energy (eV per atom): -0.015
# Offset from the most stable computed form (meV/atom): 0



# In2NiW PBE optimized geometry
data_In2NiW
_cell_length_a 2.898
_cell_length_b 2.898
_cell_length_c 8.138
_cell_angle_alpha 90.00
_cell_angle_beta 90.00
_cell_angle_gamma 90.00
_space_group_name_H-M_alt 'P 4/m m m'
_space_group_IT_number 123
_space_group_name_Hall '-P 4 2'
loop_
_atom_site_label
_atom_site_fract_x
_atom_site_fract_y
_atom_site_fract_z
_atom_site_occupancy
In1 0.000 0.000 0.224 1
Ni1 0.500 0.500 0.000 1
W1 0.500 0.500 0.500 1
# Crystal system: tetragonal
# DFT formation energy (eV per atom): 0.354
# Offset from the most stable computed form (meV/atom): 69



Calculated density: 8798 1929 4396 5156 4763 11470 (kg/m3)
Calculated volume: 33.3 35.7 19.7 34.2 32.5 17.1 (Å³ per atom)